The following is a GGA+U calculation of a relaxed structure of Na2LiVO4, from the Alexandria database.

Calculated values
SG: Pmn2_1, No. 31
Electronic total energy in eV/atom: -5.974

Cell lengths 5.4318, 6.1486, 6.6478 Å; angles 90.00, 90.00, 90.00 degrees
Atoms (fractional coordinates):
Na 0.4898 0.3241 0.2538
Na 0.4898 0.3241 0.7462
Na 0.9898 0.6759 0.7538
Na 0.9898 0.6759 0.2462
Li 0.9992 0.1485 0.5000
Li 0.4992 0.8515 0.0000
V 0.5012 0.8382 0.5000
V 0.0012 0.1618 0.0000
O 0.3187 0.1285 0.0000
O 0.8187 0.8715 0.5000
O 0.3597 0.0923 0.5000
O 0.8597 0.9077 0.0000
O 0.4209 0.6944 0.7197
O 0.9209 0.3056 0.2197
O 0.9209 0.3056 0.7803
O 0.4209 0.6944 0.2803